The following is a PBE calculation of an optimized crystal structure of Tc2PtBr, from the Alexandria database.

## Properties
Energy relative to the lowest polymorph listed for this composition ... 0 meV per atom
Energy relative to the elements, uncorrected ... 0.3300 eV per atom
Space group ... P4mm
Mass density ... 11.01 g cm⁻³
DOS at the Fermi energy ... 0.87 states/eV/atom
V ... 17.763 Å³ per atom
Energy ... -27.13 eV/cell

The structure in POSCAR format:
```
Tc2PtBr
1.0
2.872 0.000 0.000
0.000 2.872 0.000
0.000 0.000 8.616
Tc Pt Br
2 1 1
Direct
0.000 0.000 0.000 Tc
0.500 0.500 0.198 Tc
0.500 0.500 0.780 Pt
0.000 0.000 0.413 Br
```